No. 1
# PBE-GGA Cs3H2Au, optimized geometry
# E above lowest polymorph   28 meV/atom
# DOS at the Fermi energy   0.0 states/eV per cell
data_Cs3H2Au
_chemical_formula_sum 'Cs6 H4 Au2'
_cell_length_a 5.422
_cell_length_b 6.956
_cell_length_c 14.278
_cell_angle_alpha 102.66
_cell_angle_beta 100.94
_cell_angle_gamma 90.00
_space_group_name_H-M_alt 'P 1'
_space_group_IT_number 1
loop_
_space_group_symop_operation_xyz
'x,y,z'
loop_
_atom_site_label
_atom_site_fract_x
_atom_site_fract_y
_atom_site_fract_z
H1 0.710 0.360 0.420
H2 0.052 0.291 0.104
H3 0.290 0.640 0.580
H4 0.948 0.709 0.896
Au1 0.358 0.105 0.716
Au2 0.642 0.895 0.284
Cs1 0.767 0.770 0.534
Cs2 0.057 0.809 0.115
Cs3 0.608 0.363 0.215
Cs4 0.392 0.637 0.785
Cs5 0.233 0.230 0.466
Cs6 0.943 0.191 0.885

No. 2
# PBE-GGA LiTbAs, optimized geometry
# E above lowest polymorph   98 meV/atom
# DOS at the Fermi energy   1.9 states/eV per cell
data_LiTbAs
_chemical_formula_sum 'Li1 Tb1 As1'
_cell_length_a 4.617
_cell_length_b 4.617
_cell_length_c 4.617
_cell_angle_alpha 60.00
_cell_angle_beta 60.00
_cell_angle_gamma 60.00
_space_group_name_H-M_alt 'P 1'
_space_group_IT_number 1
loop_
_space_group_symop_operation_xyz
'x,y,z'
loop_
_atom_site_label
_atom_site_fract_x
_atom_site_fract_y
_atom_site_fract_z
As1 0.250 0.250 0.250
Li1 0.000 0.000 0.000
Tb1 0.500 0.500 0.500

Among the records above, which one has the highest E above lowest polymorph? LiTbAs